Entry 1:
A relaxed CoPtCl2 crystal. Source: the Alexandria database, functional PBE-GGA.

CIF file:
```
data_CoPtCl2
_chemical_formula_sum 'Co1 Pt1 Cl2'
_symmetry_space_group_name_H-M 'P 1'
_symmetry_Int_Tables_number 1
_cell_length_a 3.048
_cell_length_b 5.956
_cell_length_c 3.935
_cell_angle_alpha 90.00
_cell_angle_beta 90.00
_cell_angle_gamma 90.00
loop_
_symmetry_equiv_pos_as_xyz
'x,y,z'
loop_
_atom_site_label
_atom_site_type_symbol
_atom_site_fract_x
_atom_site_fract_y
_atom_site_fract_z
Co1 Co 0.500 0.000 0.500
Pt1 Pt 0.000 0.500 0.500
Cl1 Cl 0.000 0.000 0.000
Cl2 Cl 0.500 0.500 0.000
```

Output
- calculated total energy (eV per atom) = -3.823
- energy above the lowest structure with this stoichiometry (eV per atom) = 0.478
- ρ (g/cm3) = 7.55
- E_form (uncorrected) (eV/f.u.) = 1.55

Entry 2:
A relaxed Tb2Ga3Cu12Ni crystal. Source: the Alexandria database, functional PBE-GGA.

CIF file:
```
data_Tb2Ga3Cu12Ni
_chemical_formula_sum 'Tb2 Ga3 Cu12 Ni1'
_symmetry_space_group_name_H-M 'P 1'
_symmetry_Int_Tables_number 1
_cell_length_a 11.678
_cell_length_b 11.678
_cell_length_c 11.678
_cell_angle_alpha 26.52
_cell_angle_beta 26.52
_cell_angle_gamma 26.52
loop_
_symmetry_equiv_pos_as_xyz
'x,y,z'
loop_
_atom_site_label
_atom_site_type_symbol
_atom_site_fract_x
_atom_site_fract_y
_atom_site_fract_z
Tb1 Tb 0.644 0.644 0.644
Tb2 Tb 0.356 0.356 0.356
Ga1 Ga 0.500 0.000 0.000
Ga2 Ga 0.000 0.500 0.000
Ga3 Ga 0.000 0.000 0.500
Cu1 Cu 0.402 0.402 0.866
Cu2 Cu 0.891 0.891 0.385
Cu3 Cu 0.385 0.891 0.891
Cu4 Cu 0.866 0.402 0.402
Cu5 Cu 0.891 0.385 0.891
Cu6 Cu 0.402 0.866 0.402
Cu7 Cu 0.598 0.598 0.134
Cu8 Cu 0.109 0.109 0.615
Cu9 Cu 0.615 0.109 0.109
Cu10 Cu 0.134 0.598 0.598
Cu11 Cu 0.109 0.615 0.109
Cu12 Cu 0.598 0.134 0.598
Ni1 Ni 0.000 0.000 0.000
```

Output
- calculated total energy (eV per atom) = -4.023
- energy of formation (eV per atom) = 0.0481
- ρ (g/cm3) = 8.00

Entry 3:
A relaxed LaMnRe3 crystal. Source: the Alexandria database, functional PBE-GGA.

CIF file:
```
data_LaMnRe3
_chemical_formula_sum 'La1 Mn1 Re3'
_symmetry_space_group_name_H-M 'P 1'
_symmetry_Int_Tables_number 1
_cell_length_a 4.738
_cell_length_b 4.738
_cell_length_c 4.738
_cell_angle_alpha 90.00
_cell_angle_beta 90.00
_cell_angle_gamma 90.00
loop_
_symmetry_equiv_pos_as_xyz
'x,y,z'
loop_
_atom_site_label
_atom_site_type_symbol
_atom_site_fract_x
_atom_site_fract_y
_atom_site_fract_z
Re1 Re 0.000 0.500 0.000
Re2 Re 0.000 0.000 0.500
Re3 Re 0.500 0.000 0.000
Mn1 Mn 0.500 0.500 0.500
La1 La 0.000 0.000 0.000
```

Output
- calculated total energy (eV per atom) = -6.908
- energy above the lowest structure with this stoichiometry (eV per atom) = 2.431
- energy of formation (eV per atom) = 3.3799
- ρ (g/cm3) = 11.75

Entry 4:
A relaxed Cd2SbAs crystal. Source: the Alexandria database, functional PBE-GGA.

CIF file:
```
data_Cd2SbAs
_chemical_formula_sum 'Cd2 Sb1 As1'
_symmetry_space_group_name_H-M 'P 1'
_symmetry_Int_Tables_number 1
_cell_length_a 3.215
_cell_length_b 4.532
_cell_length_c 6.869
_cell_angle_alpha 90.00
_cell_angle_beta 90.00
_cell_angle_gamma 90.00
loop_
_symmetry_equiv_pos_as_xyz
'x,y,z'
loop_
_atom_site_label
_atom_site_type_symbol
_atom_site_fract_x
_atom_site_fract_y
_atom_site_fract_z
Sb1 Sb 0.000 0.000 0.448
As1 As 0.500 0.500 0.845
Cd1 Cd 0.000 0.000 0.957
Cd2 Cd 0.500 0.500 0.250
```

Output
- calculated total energy (eV per atom) = -2.521
- energy above the lowest structure with this stoichiometry (eV per atom) = 0.095
- ρ (g/cm3) = 6.99
- E_form (uncorrected) (eV/f.u.) = 0.52

Entry 5:
A relaxed Pm2NdFe9 crystal. Source: the Alexandria database, functional PBE-GGA.

CIF file:
```
data_Pm2NdFe9
_chemical_formula_sum 'Pm2 Nd1 Fe9'
_symmetry_space_group_name_H-M 'P 1'
_symmetry_Int_Tables_number 1
_cell_length_a 5.184
_cell_length_b 5.184
_cell_length_c 8.763
_cell_angle_alpha 72.80
_cell_angle_beta 72.80
_cell_angle_gamma 60.00
loop_
_symmetry_equiv_pos_as_xyz
'x,y,z'
loop_
_atom_site_label
_atom_site_type_symbol
_atom_site_fract_x
_atom_site_fract_y
_atom_site_fract_z
Pm1 Pm 0.858 0.858 0.426
Pm2 Pm 0.142 0.142 0.574
Nd1 Nd 0.000 0.000 0.000
Fe1 Fe 0.667 0.667 0.998
Fe2 Fe 0.333 0.333 0.002
Fe3 Fe 0.500 0.500 0.500
Fe4 Fe 0.421 0.421 0.241
Fe5 Fe 0.916 0.421 0.241
Fe6 Fe 0.421 0.916 0.241
Fe7 Fe 0.579 0.579 0.759
Fe8 Fe 0.579 0.084 0.759
Fe9 Fe 0.084 0.579 0.759
```

Output
- calculated total energy (eV per atom) = -7.505
- energy of formation (eV per atom) = 0.0314
- ρ (g/cm3) = 8.12

Entry 6:
A relaxed Zr2ZnIr crystal. Source: the Alexandria database, functional PBE-GGA.

CIF file:
```
data_Zr2ZnIr
_chemical_formula_sum 'Zr2 Zn1 Ir1'
_symmetry_space_group_name_H-M 'P 1'
_symmetry_Int_Tables_number 1
_cell_length_a 3.399
_cell_length_b 4.649
_cell_length_c 4.649
_cell_angle_alpha 90.00
_cell_angle_beta 90.00
_cell_angle_gamma 90.00
loop_
_symmetry_equiv_pos_as_xyz
'x,y,z'
loop_
_atom_site_label
_atom_site_type_symbol
_atom_site_fract_x
_atom_site_fract_y
_atom_site_fract_z
Zn1 Zn 0.500 0.000 0.000
Ir1 Ir 0.500 0.500 0.500
Zr1 Zr 0.000 0.000 0.500
Zr2 Zr 0.000 0.500 0.000
```

Output
- calculated total energy (eV per atom) = -7.340
- energy of formation (eV per atom) = -0.5321
- ρ (g/cm3) = 9.95

Entry 7:
A relaxed Pm3DyHo7 crystal. Source: the Alexandria database, functional PBE-GGA.

CIF file:
```
data_Pm3DyHo7
_chemical_formula_sum 'Pm3 Dy1 Ho7'
_symmetry_space_group_name_H-M 'P 1'
_symmetry_Int_Tables_number 1
_cell_length_a 5.824
_cell_length_b 8.413
_cell_length_c 8.413
_cell_angle_alpha 83.42
_cell_angle_beta 110.23
_cell_angle_gamma 110.23
loop_
_symmetry_equiv_pos_as_xyz
'x,y,z'
loop_
_atom_site_label
_atom_site_type_symbol
_atom_site_fract_x
_atom_site_fract_y
_atom_site_fract_z
Pm1 Pm 0.000 0.788 0.212
Pm2 Pm 0.500 0.000 0.000
Pm3 Pm 0.000 0.212 0.788
Dy1 Dy 0.500 0.500 0.500
Ho1 Ho 0.206 0.206 0.206
Ho2 Ho 0.294 0.991 0.597
Ho3 Ho 0.706 0.403 0.009
Ho4 Ho 0.294 0.597 0.991
Ho5 Ho 0.000 0.500 0.500
Ho6 Ho 0.706 0.009 0.403
Ho7 Ho 0.794 0.794 0.794
```

Output
- calculated total energy (eV per atom) = -4.355
- energy above the lowest structure with this stoichiometry (eV per atom) = 0.124
- energy of formation (eV per atom) = 0.2720
- ρ (g/cm3) = 8.02

Entry 8:
A relaxed Zn2SnI6 crystal. Source: the Alexandria database, functional PBE-GGA.

CIF file:
```
data_Zn2SnI6
_chemical_formula_sum 'Zn4 Sn2 I12'
_symmetry_space_group_name_H-M 'P 1'
_symmetry_Int_Tables_number 1
_cell_length_a 7.616
_cell_length_b 10.017
_cell_length_c 10.017
_cell_angle_alpha 85.29
_cell_angle_beta 81.73
_cell_angle_gamma 81.73
loop_
_symmetry_equiv_pos_as_xyz
'x,y,z'
loop_
_atom_site_label
_atom_site_type_symbol
_atom_site_fract_x
_atom_site_fract_y
_atom_site_fract_z
Zn1 Zn 0.186 0.615 0.770
Zn2 Zn 0.314 0.230 0.385
Zn3 Zn 0.814 0.385 0.230
Zn4 Zn 0.686 0.770 0.615
Sn1 Sn 0.250 0.115 0.885
Sn2 Sn 0.750 0.885 0.115
I1 I 0.381 0.713 0.553
I2 I 0.119 0.447 0.287
I3 I 0.619 0.287 0.447
I4 I 0.881 0.553 0.713
I5 I 0.878 0.863 0.393
I6 I 0.622 0.607 0.137
I7 I 0.122 0.137 0.607
I8 I 0.378 0.393 0.863
I9 I 0.147 0.789 0.964
I10 I 0.353 0.036 0.211
I11 I 0.853 0.211 0.036
I12 I 0.647 0.964 0.789
```

Output
- calculated total energy (eV per atom) = -2.292
- energy above the lowest structure with this stoichiometry (eV per atom) = 0.000
- ρ (g/cm3) = 4.50
- E_form (uncorrected) (eV/f.u.) = -4.78

Entry 9:
A relaxed YTiPO2 crystal. Source: the Alexandria database, functional PBE-GGA.

CIF file:
```
data_YTiPO2
_chemical_formula_sum 'Y1 Ti1 P1 O2'
_symmetry_space_group_name_H-M 'P 1'
_symmetry_Int_Tables_number 1
_cell_length_a 3.900
_cell_length_b 3.900
_cell_length_c 5.022
_cell_angle_alpha 90.00
_cell_angle_beta 90.00
_cell_angle_gamma 90.00
loop_
_symmetry_equiv_pos_as_xyz
'x,y,z'
loop_
_atom_site_label
_atom_site_type_symbol
_atom_site_fract_x
_atom_site_fract_y
_atom_site_fract_z
Y1 Y 0.500 0.500 0.500
P1 P 0.000 0.000 0.500
O1 O 0.000 0.500 0.000
O2 O 0.500 0.000 0.000
Ti1 Ti 0.000 0.000 0.000
```

Output
- calculated total energy (eV per atom) = -8.091
- energy above the lowest structure with this stoichiometry (eV per atom) = 0.000
- ρ (g/cm3) = 4.34
- E_form (uncorrected) (eV/f.u.) = -10.77

Entry 10:
A relaxed NpUPa crystal. Source: the Alexandria database, functional PBE-GGA.

CIF file:
```
data_NpUPa
_chemical_formula_sum 'Np2 U2 Pa2'
_symmetry_space_group_name_H-M 'P 1'
_symmetry_Int_Tables_number 1
_cell_length_a 5.751
_cell_length_b 2.796
_cell_length_c 8.391
_cell_angle_alpha 99.59
_cell_angle_beta 110.04
_cell_angle_gamma 90.00
loop_
_symmetry_equiv_pos_as_xyz
'x,y,z'
loop_
_atom_site_label
_atom_site_type_symbol
_atom_site_fract_x
_atom_site_fract_y
_atom_site_fract_z
Pa1 Pa 0.698 0.198 0.395
Pa2 Pa 0.302 0.802 0.605
U1 U 0.730 0.500 0.000
U2 U 0.270 0.500 0.000
Np1 Np 0.131 0.631 0.261
Np2 Np 0.869 0.369 0.739
```

Output
- calculated total energy (eV per atom) = -11.004
- energy above the lowest structure with this stoichiometry (eV per atom) = 0.000
- energy of formation (eV per atom) = 0.2374
- ρ (g/cm3) = 18.79

Entry 11:
A relaxed AcCeZnSi crystal. Source: the Alexandria database, functional PBE-GGA.

CIF file:
```
data_AcCeZnSi
_chemical_formula_sum 'Ac1 Ce1 Zn1 Si1'
_symmetry_space_group_name_H-M 'P 1'
_symmetry_Int_Tables_number 1
_cell_length_a 5.286
_cell_length_b 5.286
_cell_length_c 5.286
_cell_angle_alpha 60.00
_cell_angle_beta 60.00
_cell_angle_gamma 60.00
loop_
_symmetry_equiv_pos_as_xyz
'x,y,z'
loop_
_atom_site_label
_atom_site_type_symbol
_atom_site_fract_x
_atom_site_fract_y
_atom_site_fract_z
Ac1 Ac 0.000 0.000 0.000
Si1 Si 0.750 0.750 0.750
Zn1 Zn 0.250 0.250 0.250
Ce1 Ce 0.500 0.500 0.500
```

Output
- calculated total energy (eV per atom) = -4.473
- ρ (g/cm3) = 7.32
- E_form (uncorrected) (eV/f.u.) = -1.15

Entry 12:
A relaxed SrTiSbO6 crystal. Source: the Alexandria database, functional PBE-GGA.

CIF file:
```
data_SrTiSbO6
_chemical_formula_sum 'Sr2 Ti2 Sb2 O12'
_symmetry_space_group_name_H-M 'P 1'
_symmetry_Int_Tables_number 1
_cell_length_a 5.336
_cell_length_b 5.336
_cell_length_c 10.674
_cell_angle_alpha 90.00
_cell_angle_beta 90.00
_cell_angle_gamma 120.00
loop_
_symmetry_equiv_pos_as_xyz
'x,y,z'
loop_
_atom_site_label
_atom_site_type_symbol
_atom_site_fract_x
_atom_site_fract_y
_atom_site_fract_z
Sr1 Sr 0.000 0.000 0.000
Sr2 Sr 0.000 0.000 0.500
Ti1 Ti 0.667 0.333 0.250
Ti2 Ti 0.333 0.667 0.750
Sb1 Sb 0.333 0.667 0.250
Sb2 Sb 0.667 0.333 0.750
O1 O 0.623 0.620 0.148
O2 O 0.997 0.377 0.148
O3 O 0.377 0.997 0.648
O4 O 0.003 0.623 0.852
O5 O 0.380 0.377 0.352
O6 O 0.997 0.620 0.352
O7 O 0.620 0.997 0.852
O8 O 0.623 0.003 0.352
O9 O 0.003 0.380 0.648
O10 O 0.380 0.003 0.148
O11 O 0.620 0.623 0.648
O12 O 0.377 0.380 0.852
```

Output
- calculated total energy (eV per atom) = -7.012
- ρ (g/cm3) = 4.46
- E_form (uncorrected) (eV/f.u.) = -19.66

Question: The lowest calculated total energy belongs to which entry?
Answer: NpUPa

Question: Look up the calculated total energy of the seventh one.
Answer: -4.355 eV per atom

Question: ρ of number 3 (LaMnRe3)?
Answer: 11.75 g/cm3